Here is a relaxed NdZn4Hg crystal from Alexandria. Energies are from PBE.

POSCAR file:
```
NdZn4Hg
1.0
0.000 3.895 3.895
3.895 0.000 3.895
3.895 3.895 0.000
Nd Zn Hg
1 4 1
Direct
0.000 0.000 0.000
0.374 0.374 0.374
0.374 0.374 0.877
0.374 0.877 0.374
0.877 0.374 0.374
0.750 0.750 0.750
```

Values from the calculation:
As for the space group: F-43m. For the total energy, the calculation gives -1.8233 eV per atom. As for the total magnetization: 0.0 μB per cell.